VASP calculation (PBE+U) on a geometry-optimized Fe10O19F structure.

The structure in POSCAR format:
```
Fe10O19F
1.0
3.1604 -3.2099 0.0000
3.1604 3.2099 0.0000
0.0000 0.0000 14.9890
Fe O F
10 19 1
Cartesian
3.1604 3.1705 1.5931 Fe
3.1604 3.1951 4.5429 Fe
3.1604 -3.2059 7.4945 Fe
3.1604 3.1951 10.4461 Fe
3.1604 3.1705 13.3960 Fe
3.1604 -0.0186 3.0552 Fe
3.1604 -0.0096 8.9732 Fe
3.1604 -0.0096 6.0158 Fe
3.1604 -0.0186 11.9338 Fe
3.1604 0.1311 0.0000 Fe
3.1604 1.9610 3.1125 O
3.1604 1.9539 5.9816 O
3.1604 1.9539 9.0074 O
3.1604 1.9610 11.8765 O
3.1604 2.0625 0.0000 O
1.9271 0.0268 1.5158 O
1.8875 -0.0252 4.5443 O
1.9557 -0.0082 7.4945 O
1.8875 -0.0252 10.4447 O
1.9271 0.0268 13.4732 O
4.3938 0.0268 1.5158 O
4.4334 -0.0252 4.5443 O
4.3652 -0.0082 7.4945 O
4.4334 -0.0252 10.4447 O
4.3938 0.0268 13.4732 O
3.1604 -2.0129 3.0843 O
3.1604 -1.9665 9.0037 O
3.1604 -1.9665 5.9853 O
3.1604 -2.0129 11.9047 O
3.1604 -1.8938 0.0000 F
```

Values from the calculation:
Crystal system: orthorhombic
Volume: 10.137 Å³/atom
Total energy: -6.02 eV per atom